[1]
Compound: GdMnSi
Source: Alexandria via LeMat-Bulk
Functional: PBE-GGA
Structure: optimized geometry

```
GdMnSi
1.0
3.940 0.000 0.000
0.000 3.940 0.000
0.000 0.000 7.212
Gd Mn Si
2 2 2
direct
0.000 0.500 0.334
0.500 0.000 0.666
0.000 0.000 0.000
0.500 0.500 0.000
0.000 0.500 0.801
0.500 0.000 0.199
```

## Properties
Total moment: 5.3 μB/f.u.
Final energy: -10.1190 eV per atom
Space group: P4/nmm
Formation energy (no corrections): -1.68 eV per formula unit

***

[2]
Compound: Gd2MnSi
Source: Alexandria via LeMat-Bulk
Functional: PBE-GGA
Structure: optimized geometry

```
Gd2MnSi
1.0
3.951 0.000 0.000
0.000 4.698 0.000
0.000 0.000 4.698
Si Gd Mn
1 2 1
direct
0.500 0.500 0.500
0.000 0.000 0.500
0.000 0.500 0.000
0.500 0.000 0.000
```

## Properties
Total moment: 17.1 μB/f.u.
Final energy: -10.8221 eV per atom
Space group: P4/mmm
Formation energy (no corrections): -0.53 eV per formula unit

***

[3]
Compound: Gd3Ti2MnSi3
Source: Alexandria via LeMat-Bulk
Functional: PBE-GGA
Structure: optimized geometry

```
Gd3Ti2MnSi3
1.0
-7.583 -3.771 0.102
4.867 -0.086 6.931
-2.463 5.000 1.791
Si Gd Mn Ti
6 6 2 4
direct
0.370 0.370 0.250
0.000 0.370 0.750
0.630 0.630 0.750
0.370 0.000 0.750
0.630 0.000 0.250
0.000 0.630 0.250
0.702 0.702 0.250
0.000 0.702 0.750
0.298 0.000 0.250
0.298 0.298 0.750
0.000 0.298 0.250
0.702 0.000 0.750
0.000 0.000 0.000
0.000 0.000 0.500
0.333 0.667 0.500
0.667 0.333 0.500
0.333 0.667 0.000
0.667 0.333 0.000
```

## Properties
Total moment: 14.0 μB/f.u.
Final energy: -9.5300 eV per atom
Space group: P6_3/mcm
Formation energy (no corrections): -2.30 eV per formula unit

***

[4]
Compound: SmGd2Mn
Source: Alexandria via LeMat-Bulk
Functional: PBE-GGA
Structure: optimized geometry

```
SmGd2Mn
1.0
-0.103 5.152 -1.665
-3.244 3.574 2.455
2.124 3.893 3.110
Mn Gd Sm
1 2 1
direct
0.000 0.000 0.000
0.250 0.250 0.250
0.750 0.750 0.750
0.500 0.500 0.500
```

## Properties
Total moment: 19.3 μB/f.u.
Final energy: -10.1687 eV per atom
Space group: Fm-3m
Energy relative to the elements: 0.3439 eV per atom

***

[5]
Compound: SmGdMn2
Source: Alexandria via LeMat-Bulk
Functional: PBE-GGA
Structure: optimized geometry

```
SmGdMn2
1.0
-0.374 -1.280 -3.342
-3.715 -3.017 1.571
-3.362 3.614 -1.008
Mn Gd Sm
2 1 1
direct
0.000 0.000 0.500
0.000 0.500 0.000
0.500 0.000 0.000
0.500 0.500 0.500
```

## Properties
Total moment: 0.6 μB/f.u.
Final energy: -9.0711 eV per atom
Space group: P4/mmm
Energy relative to the elements: 0.2137 eV per atom

***

[6]
Compound: SmGdMn2
Source: Alexandria via LeMat-Bulk
Functional: PBE-GGA
Structure: optimized geometry

```
SmGdMn2
1.0
-1.186 -0.076 -4.921
1.784 -3.686 -2.977
-3.136 -3.547 -1.794
Mn Gd Sm
2 1 1
direct
0.250 0.250 0.250
0.750 0.750 0.750
0.000 0.000 0.000
0.500 0.500 0.500
```

## Properties
Total moment: 13.7 μB/f.u.
Final energy: -9.0307 eV per atom
Space group: Fm-3m
Energy relative to the elements: 0.2541 eV per atom

***

[7]
Compound: SmGd2Mn
Source: Alexandria via LeMat-Bulk
Functional: PBE-GGA
Structure: optimized geometry

```
SmGd2Mn
1.0
3.518 0.000 0.000
0.000 3.518 0.000
0.000 0.000 8.996
Mn Gd Sm
1 2 1
direct
0.500 0.500 0.000
0.000 0.000 0.803
0.000 0.000 0.197
0.500 0.500 0.500
```

## Properties
Total moment: 11.1 μB/f.u.
Final energy: -10.4019 eV per atom
Space group: P4/mmm
Energy relative to the elements: 0.1108 eV per atom

***

[8]
Compound: SmGd2Mn
Source: Alexandria via LeMat-Bulk
Functional: PBE-GGA
Structure: optimized geometry

```
SmGd2Mn
1.0
-1.113 1.904 4.370
-2.988 -3.619 0.816
3.548 -2.482 1.985
Mn Gd Sm
1 2 1
direct
0.500 0.500 0.500
0.000 0.000 0.500
0.000 0.500 0.000
0.500 0.000 0.000
```

## Properties
Total moment: 17.9 μB/f.u.
Final energy: -10.2388 eV per atom
Space group: P4/mmm
Energy relative to the elements: 0.2738 eV per atom

***

[9]
Compound: SmGd3Mn
Source: Alexandria via LeMat-Bulk
Functional: PBE-GGA
Structure: optimized geometry

```
SmGd3Mn
1.0
-0.202 -4.929 2.025
4.579 0.877 2.590
-2.727 1.837 4.199
Mn Gd Sm
1 3 1
direct
0.000 0.000 0.000
0.000 0.500 0.000
0.000 0.000 0.500
0.500 0.000 0.000
0.500 0.500 0.500
```

## Properties
Total moment: 21.6 μB/f.u.
Final energy: -11.0313 eV per atom
Space group: Pm-3m
Energy relative to the elements: 0.1950 eV per atom

***

[10]
Compound: Gd2MnSn
Source: Alexandria via LeMat-Bulk
Functional: PBE-GGA
Structure: optimized geometry

```
Gd2MnSn
1.0
4.354 0.000 0.000
0.000 4.798 0.000
0.000 0.000 4.798
Gd Sn Mn
2 1 1
direct
0.000 0.000 0.500
0.000 0.500 0.000
0.500 0.500 0.500
0.500 0.000 0.000
```

## Properties
Total moment: 18.0 μB/f.u.
Final energy: -10.5193 eV per atom
Space group: P4/mmm
Energy relative to the elements: -0.1858 eV per atom

***

[11]
Compound: GdTaMn4
Source: Alexandria via LeMat-Bulk
Functional: PBE-GGA
Structure: optimized geometry

```
GdTaMn4
1.0
-4.003 -2.602 1.413
0.086 -2.588 4.253
-2.709 1.517 3.892
Gd Mn Ta
1 4 1
direct
0.000 0.000 0.000
0.624 0.624 0.127
0.624 0.127 0.624
0.624 0.624 0.624
0.127 0.624 0.624
0.250 0.250 0.250
```

## Properties
Total moment: 10.1 μB/f.u.
Final energy: -10.3253 eV per atom
Space group: F-43m
Energy relative to the elements: 0.1099 eV per atom

***

[12]
Compound: Tb2GdMn
Source: Alexandria via LeMat-Bulk
Functional: PBE-GGA
Structure: optimized geometry

```
Tb2GdMn
1.0
-1.482 -2.969 -4.234
0.415 -5.360 0.196
-4.431 -3.033 0.260
Gd Tb Mn
1 2 1
direct
0.500 0.500 0.500
0.250 0.250 0.250
0.750 0.750 0.750
0.000 0.000 0.000
```

## Properties
Total moment: 11.0 μB/f.u.
Final energy: -7.8003 eV per atom
Space group: Fm-3m
Energy relative to the elements: 0.3275 eV per atom

***

- Which value of total moment does entry 1 give?
  5.3 μB/f.u.